Nd3Tl2Ge | GGA-PBE | optimized geometry

Cell lengths 12.9642, 4.3857, 12.7099 Å; angles 90.00, 90.00, 90.00 degrees
Last column: nearest neighbours and their distance in Å.
Atoms (fractional coordinates):
Nd  0.0549  0.2500  0.1228  5 Tl 3.19-3.47, 1 Ge 3.28
Nd  0.1175  0.7500  0.5450  3 Ge 3.12-3.31, 4 Tl 3.29-3.42
Nd  0.2336  0.2500  0.7847  2 Ge 3.07, 1 Tl 3.14
Nd  0.2664  0.7500  0.2847  2 Ge 3.07, 1 Tl 3.14
Nd  0.3825  0.2500  0.0450  3 Ge 3.12-3.31, 4 Tl 3.29-3.42
Nd  0.4451  0.7500  0.6228  5 Tl 3.19-3.47, 1 Ge 3.28
Nd  0.5549  0.2500  0.3772  5 Tl 3.19-3.47, 1 Ge 3.28
Nd  0.6175  0.7500  0.9550  3 Ge 3.12-3.31, 4 Tl 3.29-3.42
Nd  0.7336  0.2500  0.7153  2 Ge 3.07, 1 Tl 3.14
Nd  0.7664  0.7500  0.2153  2 Ge 3.07, 1 Tl 3.14
Nd  0.8825  0.2500  0.4550  3 Ge 3.12-3.31, 4 Tl 3.29-3.42
Nd  0.9451  0.7500  0.8772  5 Tl 3.19-3.47, 1 Ge 3.28
Tl  0.0057  0.2500  0.7009  2 Ge 2.91, 3 Nd 3.14-3.23
Tl  0.1849  0.7500  0.9978  1 Ge 2.95, 2 Nd 3.19
Tl  0.3151  0.2500  0.4978  1 Ge 2.95, 2 Nd 3.19
Tl  0.4943  0.7500  0.2009  2 Ge 2.91, 3 Nd 3.14-3.23
Tl  0.5057  0.2500  0.7991  2 Ge 2.91, 3 Nd 3.14-3.23
Tl  0.6849  0.7500  0.5022  1 Ge 2.95, 2 Nd 3.19
Tl  0.8151  0.2500  0.0022  1 Ge 2.95, 2 Nd 3.19
Tl  0.9943  0.7500  0.2991  2 Ge 2.91, 3 Nd 3.14-3.23
Ge  0.1242  0.2500  0.3707  3 Tl 2.91-2.95, 4 Nd 3.07-3.12
Ge  0.3758  0.7500  0.8707  3 Tl 2.91-2.95, 4 Nd 3.07-3.12
Ge  0.6242  0.2500  0.1293  3 Tl 2.91-2.95, 4 Nd 3.07-3.12
Ge  0.8758  0.7500  0.6293  3 Tl 2.91-2.95, 4 Nd 3.07-3.12

Properties
- density of states at the Fermi level (states/eV/cell) = 21.0
- total magnetic moment (μB per formula unit) = 0.00
- volume (Å³ per atom) = 30.110
- energy of formation from the pure elements (eV per atom) = -0.441
- space group = Pnma (62)
- calculated total energy (hartree per atom) = -0.1611